1.
# Li4Tb

A geometry-optimized Li4Tb structure (PBE, Alexandria via LeMat-Bulk).

Cell and atoms, written as POSCAR:
```
Li4Tb
1.0
5.7381 0.0000 0.0000
0.0000 5.7381 0.0000
0.0000 0.0000 5.7381
Li Tb
4 1
Cartesian
0.0000 0.0000 0.0000
0.0000 2.8690 2.8690
2.8690 0.0000 2.8690
2.8690 2.8690 0.0000
2.8690 2.8690 2.8690
```

Total moment: 1.7 μB/f.u.
Fermi-level density of states: 6.873 states/eV per cell
Energy: -1.5016 eV per atom
ΔH_f (0 K): 0.956 eV/atom

2.
# LiTb3

A geometry-optimized LiTb3 structure (PBE, Alexandria via LeMat-Bulk).

Cell and atoms, written as POSCAR:
```
LiTb3
1.0
0.0000 3.8858 3.8858
3.8858 0.0000 3.8858
3.8858 3.8858 0.0000
Li Tb
1 3
Cartesian
0.0000 0.0000 0.0000
1.9429 1.9429 1.9429
3.8858 3.8858 3.8858
5.8287 5.8287 5.8287
```

Total moment: 0.0 μB/f.u.
Fermi-level density of states: 3.226 states/eV per cell
Energy: -3.7701 eV per atom
ΔH_f (0 K): 0.181 eV/atom
Energy above the lowest structure with this stoichiometry: 103 meV/atom

3.
# LiTb3

A geometry-optimized LiTb3 structure (PBE, Alexandria via LeMat-Bulk).

Cell and atoms, written as POSCAR:
```
LiTb3
1.0
7.0332 0.0000 0.0000
-3.5166 6.0909 0.0000
0.0000 0.0000 5.5441
Li Tb
2 6
Cartesian
0.0000 4.0606 1.3860
3.5166 2.0303 4.1581
0.0000 2.0559 4.1581
-1.7362 5.0630 4.1581
1.7804 1.0279 1.3860
1.7362 5.0630 4.1581
5.2528 1.0279 1.3860
3.5166 4.0351 1.3860
```

Total moment: 0.6 μB/f.u.
Fermi-level density of states: 13.575 states/eV per cell
Energy: -3.7632 eV per atom
ΔH_f (0 K): 0.188 eV/atom
Energy above the lowest structure with this stoichiometry: 110 meV/atom

4.
# LiTb

A geometry-optimized LiTb structure (PBE, Alexandria via LeMat-Bulk).

Cell and atoms, written as POSCAR:
```
LiTb
1.0
3.6606 0.0000 0.0000
0.0000 3.6606 0.0000
0.0000 0.0000 7.7764
Li Tb
2 2
Cartesian
0.9151 0.9151 0.6636
2.7454 2.7454 7.1127
0.9151 0.9151 5.0370
2.7454 2.7454 2.7393
```

Total moment: 0.0 μB/f.u.
Fermi-level density of states: 3.534 states/eV per cell
Energy: -3.2073 eV per atom
ΔH_f (0 K): 0.065 eV/atom
Energy above the lowest structure with this stoichiometry: 0 meV/atom

5.
# LiTb

A geometry-optimized LiTb structure (PBE, Alexandria via LeMat-Bulk).

Cell and atoms, written as POSCAR:
```
LiTb
1.0
3.7236 0.0000 0.0000
0.0000 3.7236 0.0000
0.0000 0.0000 3.7236
Li Tb
1 1
Cartesian
0.0000 0.0000 0.0000
1.8618 1.8618 1.8618
```

Total moment: 0.0 μB/f.u.
Fermi-level density of states: 2.078 states/eV per cell
Energy: -3.1170 eV per atom
ΔH_f (0 K): 0.155 eV/atom
Energy above the lowest structure with this stoichiometry: 90 meV/atom

6.
# Li5Tb12Tc3

A geometry-optimized Li5Tb12Tc3 structure (PBE, Alexandria via LeMat-Bulk).

Cell and atoms, written as POSCAR:
```
Li5Tb12Tc3
1.0
-8.3434 8.3434 8.3434
8.3434 -8.3434 8.3434
8.3434 8.3434 -8.3434
Li Tb Tc
20 48 12
Cartesian
0.0000 0.0000 0.0000
4.1717 4.1717 -4.1717
4.1717 -4.1717 4.1717
8.3434 0.0000 0.0000
12.5151 2.0858 0.0000
8.3434 -4.1717 6.2575
6.2575 8.3434 -4.1717
6.2575 0.0000 4.1717
4.1717 6.2575 0.0000
8.3434 4.1717 2.0858
-4.1717 4.1717 4.1717
0.0000 8.3434 0.0000
0.0000 0.0000 8.3434
4.1717 4.1717 4.1717
0.0000 4.1717 6.2575
4.1717 2.0858 8.3434
2.0858 8.3434 4.1717
2.0858 0.0000 12.5151
0.0000 12.5151 2.0858
-4.1717 6.2575 8.3434
2.4838 -0.3117 1.3919
10.0313 5.5636 -4.4834
8.0317 -1.3919 2.4838
12.8268 -1.6879 2.7798
10.8272 0.3117 1.3919
10.0313 -2.7798 4.4834
1.3919 2.4838 -0.3117
11.1232 3.8600 -1.6879
5.5636 4.4834 -1.6879
6.9515 2.4838 0.3117
-0.3117 1.3919 2.4838
4.4834 -1.6879 5.5636
8.0317 6.9515 -2.4838
4.4834 1.6879 2.7798
6.9515 -2.4838 8.0317
5.5636 -4.4834 10.0313
2.7798 4.4834 1.6879
9.7353 5.8596 0.3117
2.4838 8.0317 -1.3919
10.0313 2.7798 3.8600
4.4834 10.0313 -2.7798
1.6879 2.7798 4.4834
2.4838 0.3117 6.9515
8.0317 1.3919 5.8596
0.3117 6.9515 2.4838
5.8596 8.0317 1.3919
6.6555 5.5636 3.8600
3.8600 -1.6879 11.1232
-1.6879 5.5636 4.4834
5.8596 0.3117 9.7353
-1.3919 2.4838 8.0317
5.5636 3.8600 6.6555
2.7798 12.8268 -1.6879
1.3919 10.8272 0.3117
3.8600 6.6555 5.5636
0.3117 1.3919 10.8272
3.8600 10.0313 2.7798
8.6551 6.9515 5.8596
1.3919 5.8596 8.0317
2.7798 3.8600 10.0313
-2.7798 4.4834 10.0313
6.9515 5.8596 8.6551
-1.6879 11.1232 3.8600
-2.4838 8.0317 6.9515
-4.4834 10.0313 5.5636
0.3117 9.7353 5.8596
-1.6879 2.7798 12.8268
5.8596 8.6551 6.9515
4.1717 2.0858 0.0000
8.3434 4.1717 -2.0858
2.0858 0.0000 4.1717
10.4292 0.0000 4.1717
0.0000 4.1717 2.0858
4.1717 -2.0858 8.3434
4.1717 10.4292 0.0000
8.3434 4.1717 6.2575
-2.0858 8.3434 4.1717
6.2575 8.3434 4.1717
0.0000 4.1717 10.4292
4.1717 6.2575 8.3434
```

Total moment: 0.0 μB/f.u.
Fermi-level density of states: 93.408 states/eV per cell
Energy: -4.2456 eV per atom
ΔH_f (0 K): 0.566 eV/atom

7.
# LiTbTiTc

A geometry-optimized LiTbTiTc structure (PBE, Alexandria via LeMat-Bulk).

Cell and atoms, written as POSCAR:
```
LiTbTiTc
1.0
0.0000 3.2993 3.2993
3.2993 0.0000 3.2993
3.2993 3.2993 0.0000
Li Tb Ti Tc
1 1 1 1
Cartesian
0.0000 0.0000 0.0000
4.9489 4.9489 4.9489
1.6496 1.6496 1.6496
3.2993 3.2993 3.2993
```

Total moment: 0.0 μB/f.u.
Fermi-level density of states: 2.390 states/eV per cell
Energy: -6.2081 eV per atom
ΔH_f (0 K): -0.007 eV/atom

8.
# LiTbYTc

A geometry-optimized LiTbYTc structure (PBE, Alexandria via LeMat-Bulk).

Cell and atoms, written as POSCAR:
```
LiTbYTc
1.0
0.0000 3.5007 3.5007
3.5007 0.0000 3.5007
3.5007 3.5007 0.0000
Li Tb Y Tc
1 1 1 1
Cartesian
0.0000 0.0000 0.0000
5.2511 5.2511 5.2511
1.7504 1.7504 1.7504
3.5007 3.5007 3.5007
```

Total moment: 0.0 μB/f.u.
Fermi-level density of states: 3.793 states/eV per cell
Energy: -5.8588 eV per atom
ΔH_f (0 K): -0.015 eV/atom

9.
# LiTbZrTc

A geometry-optimized LiTbZrTc structure (PBE, Alexandria via LeMat-Bulk).

Cell and atoms, written as POSCAR:
```
LiTbZrTc
1.0
0.0000 3.3961 3.3961
3.3961 0.0000 3.3961
3.3961 3.3961 0.0000
Li Tb Zr Tc
1 1 1 1
Cartesian
0.0000 0.0000 0.0000
1.6980 1.6980 1.6980
5.0941 5.0941 5.0941
3.3961 3.3961 3.3961
```

Total moment: 0.0 μB/f.u.
Fermi-level density of states: 2.264 states/eV per cell
Energy: -6.4469 eV per atom
ΔH_f (0 K): -0.082 eV/atom

10.
# LiTb2Te3

A geometry-optimized LiTb2Te3 structure (PBE, Alexandria via LeMat-Bulk).

Cell and atoms, written as POSCAR:
```
LiTb2Te3
1.0
-2.1561 3.0853 6.5183
2.1561 -3.0853 6.5183
2.1561 3.0853 -6.5183
Li Tb Te
1 2 3
Cartesian
0.0000 0.0000 0.0000
0.0000 0.0000 4.3226
0.0000 0.0000 8.7141
2.1561 0.0000 2.0720
0.0000 3.0853 0.0000
0.0000 3.0853 4.4464
```

Total moment: 0.0 μB/f.u.
Fermi-level density of states: 2.069 states/eV per cell
Energy: -4.7463 eV per atom
E_form (uncorrected): -1.31 eV per atom

11.
# LiTbTe

A geometry-optimized LiTbTe structure (PBE, Alexandria via LeMat-Bulk).

Cell and atoms, written as POSCAR:
```
LiTbTe
1.0
3.6743 -2.0663 0.0000
3.6743 2.0663 0.0000
-1.8940 0.0000 11.2893
Li Tb Te
2 2 2
Cartesian
0.0551 0.0000 4.4670
5.3994 0.0000 6.8222
0.5799 0.0000 9.8965
4.8746 0.0000 1.3928
2.4531 0.0000 3.4215
3.0014 0.0000 7.8678
```

Total moment: 0.6 μB/f.u.
Fermi-level density of states: 3.500 states/eV per cell
Energy: -3.9451 eV per atom
E_form (uncorrected): -0.72 eV per atom
Energy above the lowest structure with this stoichiometry: 168 meV/atom

12.
# LiTbTe

A geometry-optimized LiTbTe structure (PBE, Alexandria via LeMat-Bulk).

Cell and atoms, written as POSCAR:
```
LiTbTe
1.0
7.4732 0.0000 0.0000
0.0000 4.1573 0.0000
0.0000 0.0000 9.1057
Li Tb Te
4 4 4
Cartesian
1.0281 1.0393 0.5571
2.7085 3.1180 5.1099
4.7647 1.0393 3.9958
6.4451 3.1180 8.5486
0.3108 1.0393 5.9905
3.4257 3.1180 1.4377
4.0474 1.0393 7.6680
7.1623 3.1180 3.1151
1.7140 3.1180 7.8796
2.0225 1.0393 3.3268
5.4506 3.1180 5.7789
5.7591 1.0393 1.2260
```

Total moment: 0.0 μB/f.u.
Fermi-level density of states: 6.617 states/eV per cell
Energy: -4.1002 eV per atom
E_form (uncorrected): -0.87 eV per atom
Energy above the lowest structure with this stoichiometry: 13 meV/atom

13.
# LiTb4Te4

A geometry-optimized LiTb4Te4 structure (PBE, Alexandria via LeMat-Bulk).

Cell and atoms, written as POSCAR:
```
LiTb4Te4
1.0
9.0529 0.0000 0.0000
0.0000 9.0529 0.0000
0.0000 0.0000 6.0852
Li Tb Te
2 8 8
Cartesian
2.2632 6.7897 1.5213
6.7897 2.2632 4.5639
0.4698 2.2632 6.0827
2.2632 0.4698 3.0401
2.2632 4.0567 3.0401
4.0567 2.2632 6.0827
4.9963 6.7897 0.0025
6.7897 4.9963 3.0451
6.7897 8.5831 3.0451
8.5831 6.7897 0.0025
0.2486 6.7897 3.0892
2.2632 4.7750 6.0386
2.2632 8.8044 6.0386
4.2779 6.7897 3.0892
4.7750 2.2632 2.9960
6.7897 0.2486 0.0466
6.7897 4.2779 0.0466
8.8044 2.2632 2.9960
```

Total moment: 0.0 μB/f.u.
Fermi-level density of states: 12.106 states/eV per cell
Energy: -4.7595 eV per atom
E_form (uncorrected): -1.09 eV per atom

14.
# LiTbTe

A geometry-optimized LiTbTe structure (PBE, Alexandria via LeMat-Bulk).

Cell and atoms, written as POSCAR:
```
LiTbTe
1.0
4.4292 0.0000 0.0000
-2.2146 3.8358 0.0000
0.0000 0.0000 3.9988
Li Tb Te
1 1 1
Cartesian
0.0000 0.0000 0.0000
2.2146 1.2786 1.9994
0.0000 2.5572 0.0000
```

Total moment: 0.0 μB/f.u.
Fermi-level density of states: 0.248 states/eV per cell
Energy: -4.1129 eV per atom
E_form (uncorrected): -0.88 eV per atom
Energy above the lowest structure with this stoichiometry: 0 meV/atom

15.
# LiTbTe2

A geometry-optimized LiTbTe2 structure (PBE, Alexandria via LeMat-Bulk).

Cell and atoms, written as POSCAR:
```
LiTbTe2
1.0
2.1209 1.2245 7.3945
-2.1209 1.2245 7.3945
0.0000 -2.4490 7.3945
Li Tb Te
1 1 2
Cartesian
0.0000 0.0000 0.0000
0.0000 0.0000 3.7491
0.0000 0.0000 9.2123
0.0000 0.0000 13.0778
```

Total moment: 0.0 μB/f.u.
Energy: -4.4254 eV per atom
E_form (uncorrected): -1.22 eV per atom

16.
# LiTbTe

A geometry-optimized LiTbTe structure (PBE, Alexandria via LeMat-Bulk).

Cell and atoms, written as POSCAR:
```
LiTbTe
1.0
-1.8970 1.8970 5.1689
1.8970 -1.8970 5.1689
1.8970 1.8970 -5.1689
Li Tb Te
1 1 1
Cartesian
0.0000 0.0000 0.0000
0.0000 0.0000 3.0984
0.0000 0.0000 6.3749
```

Total moment: 0.0 μB/f.u.
Fermi-level density of states: 2.269 states/eV per cell
Energy: -3.8856 eV per atom
E_form (uncorrected): -0.66 eV per atom
Energy above the lowest structure with this stoichiometry: 227 meV/atom

17.
# LiTb4Te5

A geometry-optimized LiTb4Te5 structure (PBE, Alexandria via LeMat-Bulk).

Cell and atoms, written as POSCAR:
```
LiTb4Te5
1.0
-2.1799 2.1799 15.4726
2.1799 -2.1799 15.4726
2.1799 2.1799 -15.4726
Li Tb Te
1 4 5
Cartesian
0.0000 0.0000 0.0000
0.0000 0.0000 6.2990
0.0000 0.0000 12.4808
0.0000 0.0000 18.4644
0.0000 0.0000 24.6461
0.0000 0.0000 3.1116
0.0000 0.0000 9.3735
0.0000 0.0000 15.4726
0.0000 0.0000 21.5717
0.0000 0.0000 27.8335
```

Total moment: 0.0 μB/f.u.
Fermi-level density of states: 3.863 states/eV per cell
Energy: -4.9125 eV per atom
E_form (uncorrected): -1.30 eV per atom
Energy above the lowest structure with this stoichiometry: 25 meV/atom

18.
# Li3Tb4Te8

A geometry-optimized Li3Tb4Te8 structure (PBE, Alexandria via LeMat-Bulk).

Cell and atoms, written as POSCAR:
```
Li3Tb4Te8
1.0
6.0718 -6.1593 0.0000
6.0718 6.1593 0.0000
-6.0507 0.0000 6.1730
Li Tb Te
3 4 8
Cartesian
0.0000 0.0000 0.0000
3.0359 3.0796 0.0000
3.0359 -3.0796 0.0000
0.0106 3.0796 3.0865
0.0106 -3.0796 3.0865
6.0718 0.0000 0.0000
3.0464 0.0000 3.0865
-0.0796 0.0000 3.0657
6.0718 3.1041 0.0000
3.0464 3.0907 3.0865
3.0099 0.0000 0.0259
3.0830 0.0000 6.1471
3.0464 -3.0907 3.0865
6.0718 -3.1041 0.0000
6.1725 0.0000 3.1073
```

Total moment: 0.0 μB/f.u.
Fermi-level density of states: 7.631 states/eV per cell
Energy: -4.4914 eV per atom
E_form (uncorrected): -1.20 eV per atom

19.
# LiTb5Te8

A geometry-optimized LiTb5Te8 structure (PBE, Alexandria via LeMat-Bulk).

Cell and atoms, written as POSCAR:
```
LiTb5Te8
1.0
0.0000 6.3716 6.3716
6.3716 0.0000 6.3716
6.3716 6.3716 0.0000
Li Tb Te
1 5 8
Cartesian
0.0000 0.0000 0.0000
4.7012 4.7012 4.7012
8.0419 8.0419 4.7012
8.0419 4.7012 8.0419
9.5574 9.5574 9.5574
4.7012 8.0419 8.0419
1.6379 1.6379 1.6379
4.7337 4.7337 1.6379
4.7337 1.6379 4.7337
7.8498 4.8934 4.8934
1.6379 4.7337 4.7337
4.8934 7.8498 4.8934
4.8934 4.8934 7.8498
7.8498 7.8498 7.8498
```

Total moment: 0.0 μB/f.u.
Energy: -4.9024 eV per atom
E_form (uncorrected): -1.32 eV per atom

20.
# LiTb2Te

A geometry-optimized LiTb2Te structure (PBE, Alexandria via LeMat-Bulk).

Cell and atoms, written as POSCAR:
```
LiTb2Te
1.0
3.9506 0.0000 0.0000
0.0000 3.9506 0.0000
0.0000 0.0000 6.6541
Li Tb Te
1 2 1
Cartesian
0.0000 0.0000 0.0000
1.9753 1.9753 1.6331
1.9753 1.9753 5.0209
0.0000 0.0000 3.3270
```

Total moment: 0.0 μB/f.u.
Fermi-level density of states: 4.487 states/eV per cell
Energy: -4.1287 eV per atom
E_form (uncorrected): -0.55 eV per atom
Energy above the lowest structure with this stoichiometry: 9 meV/atom

21.
# Li5TbTe4

A geometry-optimized Li5TbTe4 structure (PBE, Alexandria via LeMat-Bulk).

Cell and atoms, written as POSCAR:
```
Li5TbTe4
1.0
-2.2103 4.0738 7.4669
2.2103 -4.0738 7.4669
2.2103 4.0738 -7.4669
Li Tb Te
5 1 4
Cartesian
0.0000 0.0000 0.0000
2.2103 2.4257 -2.6980
2.2103 2.4257 2.6980
0.0000 1.6481 4.7689
0.0000 1.6481 10.1650
0.0000 4.0738 0.0000
2.2103 1.9129 0.0000
2.2103 0.0000 4.2680
0.0000 4.0738 3.1989
0.0000 2.1610 7.4669
```

Total moment: 0.0 μB/f.u.
Energy: -3.7811 eV per atom
E_form (uncorrected): -1.10 eV per atom

22.
# LiTb2Te

A geometry-optimized LiTb2Te structure (PBE, Alexandria via LeMat-Bulk).

Cell and atoms, written as POSCAR:
```
LiTb2Te
1.0
3.9390 0.0000 0.0000
1.9660 7.1619 0.0000
1.9651 1.4428 7.6519
Li Tb Te
2 4 2
Cartesian
0.9800 0.7829 2.1920
6.8901 7.8218 5.4599
2.9503 2.6778 4.0585
2.9530 5.4513 0.2863
4.9171 3.1534 7.3656
4.9199 5.9269 3.5934
2.9493 5.2041 5.9047
4.9208 3.4007 1.7471
```

Total moment: 0.0 μB/f.u.
Fermi-level density of states: 8.775 states/eV per cell
Energy: -4.1374 eV per atom
E_form (uncorrected): -0.56 eV per atom
Energy above the lowest structure with this stoichiometry: 0 meV/atom